(1)
PBE TlZnOs2, optimized geometry; energy relative to the lowest polymorph listed for this composition = 474 meV per atom; ΔH_f (0 K) = 0.830 eV/atom
1.0
2.9215 0.0000 0.0000
0.0000 4.8489 0.0000
0.0000 0.0000 4.6377
Os Tl Zn
2 1 1
Direct
0.0000 0.0000 0.0000
0.5000 0.5000 0.0000
0.5000 0.0000 0.5000
0.0000 0.5000 0.5000


(2)
PBE YHfPb2O6, optimized geometry; E_form (uncorrected) = -2333.3 meV/atom
1.0
5.8438 0.0000 -0.0221
0.0000 6.0265 0.0000
0.0196 0.0000 8.4233
Y Hf Pb O
2 2 4 12
Direct
0.5000 0.0000 0.5000
0.0000 0.5000 0.0000
0.5000 0.0000 0.0000
0.0000 0.5000 0.5000
0.0082 0.9646 0.2495
0.5082 0.5354 0.7495
0.9918 0.0354 0.7505
0.4918 0.4646 0.2505
0.3207 0.7067 0.0538
0.8207 0.7933 0.5538
0.6793 0.2933 0.9462
0.1793 0.2067 0.4462
0.2955 0.6852 0.4485
0.7955 0.8148 0.9485
0.7045 0.3148 0.5515
0.2045 0.1852 0.0515
0.8942 0.5351 0.2614
0.3942 0.9649 0.7614
0.1058 0.4649 0.7386
0.6058 0.0351 0.2386


So what do the calculations give for magnetic moment? Going down the list: 0.0, 0.0 Bohr magnetons per cell.